[1]
First-principles (PBEsol) data for TlPb2W after structural relaxation, as listed in Alexandria.

Output
**Total energy**: -5.00 eV/atom
**Offset from the most stable computed form**: 40.76 kJ/mol of atoms
**Size of the total moment**: 2.01 μB per formula unit
**Formation energy**: 1.108 eV per atom
**Theoretical density**: 13.823 g/cm³

Lattice parameters (Å, degrees): 7.279 7.279 7.279 90.00 90.00 90.00
Sites, in units of the cell vectors:
Tl1 0.000 0.000 0.000
Tl2 0.000 0.500 0.500
Tl3 0.500 0.000 0.500
Tl4 0.500 0.500 0.000
Pb1 0.250 0.250 0.250
Pb2 0.250 0.250 0.750
Pb3 0.250 0.750 0.250
Pb4 0.250 0.750 0.750
Pb5 0.750 0.250 0.250
Pb6 0.750 0.250 0.750
Pb7 0.750 0.750 0.250
Pb8 0.750 0.750 0.750
W1 0.000 0.000 0.500
W2 0.000 0.500 0.000
W3 0.500 0.000 0.000
W4 0.500 0.500 0.500


[2]
First-principles (PBEsol) data for TlPbW2 after structural relaxation, as listed in Alexandria.

Output
**Total energy**: -7.30 eV/atom
**Offset from the most stable computed form**: 32.03 kJ/mol of atoms
**Size of the total moment**: 0.00 μB per formula unit
**Formation energy**: 1.261 eV per atom
**Theoretical density**: 15.463 g/cm³

Lattice parameters (Å, degrees): 3.009 4.377 6.352 90.00 90.00 90.00
Sites, in units of the cell vectors:
Tl1 0.000 0.000 0.000
Pb1 0.000 0.000 0.500
W1 0.500 0.500 0.190
W2 0.500 0.500 0.810


[3]
First-principles (PBEsol) data for YTlPb2 after structural relaxation, as listed in Alexandria.

Output
**Total energy**: -4.64 eV/atom
**Size of the total moment**: 0.00 μB per formula unit
**Formation energy**: -0.275 eV per atom
**Theoretical density**: 10.688 g/cm³

Lattice parameters (Å, degrees): 5.484 5.484 3.656 90.00 90.00 90.00
Sites, in units of the cell vectors:
Y1 0.000 0.000 0.000
Tl1 0.500 0.500 0.000
Pb1 0.000 0.500 0.500
Pb2 0.500 0.000 0.500


[4]
First-principles (PBEsol) data for YTlPb2 after structural relaxation, as listed in Alexandria.

Output
**Total energy**: -4.64 eV/atom
**Size of the total moment**: 0.00 μB per formula unit
**Formation energy**: -0.278 eV per atom
**Theoretical density**: 10.590 g/cm³

Lattice parameters (Å, degrees): 3.578 4.679 6.629 90.00 90.00 90.00
Sites, in units of the cell vectors:
Y1 0.000 0.000 0.000
Tl1 0.000 0.000 0.500
Pb1 0.500 0.500 0.241
Pb2 0.500 0.500 0.759


[5]
First-principles (PBEsol) data for YTlPb2 after structural relaxation, as listed in Alexandria.

Output
**Total energy**: -4.66 eV/atom
**Size of the total moment**: 0.00 μB per formula unit
**Formation energy**: -0.294 eV per atom
**Theoretical density**: 10.936 g/cm³

Lattice parameters (Å, degrees): 4.569 4.569 10.295 90.00 90.00 90.00
Sites, in units of the cell vectors:
Y1 0.000 0.000 0.000
Y2 0.500 0.500 0.500
Tl1 0.000 0.500 0.750
Tl2 0.500 0.000 0.250
Pb1 0.000 0.000 0.500
Pb2 0.000 0.500 0.250
Pb3 0.500 0.000 0.750
Pb4 0.500 0.500 0.000


[6]
First-principles (PBEsol) data for YTlPb2 after structural relaxation, as listed in Alexandria.

Output
**Total energy**: -4.62 eV/atom
**Size of the total moment**: 0.00 μB per formula unit
**Formation energy**: -0.256 eV per atom
**Theoretical density**: 10.768 g/cm³

Lattice parameters (Å, degrees): 3.877 5.198 10.831 90.00 90.00 90.00
Sites, in units of the cell vectors:
Y1 0.000 0.000 0.000
Y2 0.500 0.500 0.500
Tl1 0.000 0.500 0.254
Tl2 0.500 0.000 0.754
Pb1 0.000 0.000 0.508
Pb2 0.000 0.500 0.753
Pb3 0.500 0.000 0.253
Pb4 0.500 0.500 0.008


[7]
First-principles (PBEsol) data for YTlPb2 after structural relaxation, as listed in Alexandria.

Output
**Total energy**: -4.65 eV/atom
**Size of the total moment**: 0.00 μB per formula unit
**Formation energy**: -0.283 eV per atom
**Theoretical density**: 10.700 g/cm³

Lattice parameters (Å, degrees): 6.874 9.082 3.519 90.00 90.00 90.00
Sites, in units of the cell vectors:
Y1 0.000 0.000 0.000
Y2 0.500 0.500 0.000
Tl1 0.000 0.500 0.000
Tl2 0.500 0.000 0.000
Pb1 0.250 0.250 0.500
Pb2 0.250 0.750 0.500
Pb3 0.750 0.250 0.500
Pb4 0.750 0.750 0.500


[8]
First-principles (PBEsol) data for TlZn2Pb after structural relaxation, as listed in Alexandria.

Output
**Total energy**: -2.32 eV/atom
**Size of the total moment**: 0.00 μB per formula unit
**Formation energy**: 0.132 eV per atom
**Theoretical density**: 10.205 g/cm³

Lattice parameters (Å, degrees): 4.070 4.195 5.530 90.00 110.81 90.00
Sites, in units of the cell vectors:
Tl1 0.000 0.000 0.000
Zn1 0.581 0.500 0.158
Zn2 0.721 0.000 0.443
Pb1 0.299 0.500 0.601


[9]
First-principles (PBEsol) data for Tl2Zn2Pb after structural relaxation, as listed in Alexandria.

Output
**Total energy**: -2.29 eV/atom
**Size of the total moment**: 0.00 μB per formula unit
**Formation energy**: 0.197 eV per atom
**Theoretical density**: 10.448 g/cm³

Lattice parameters (Å, degrees): 4.393 4.393 12.303 90.00 90.00 90.00
Sites, in units of the cell vectors:
Tl1 0.000 0.500 0.250
Tl2 0.000 0.500 0.750
Tl3 0.500 0.000 0.250
Tl4 0.500 0.000 0.750
Zn1 0.000 0.000 0.097
Zn2 0.000 0.000 0.903
Zn3 0.500 0.500 0.403
Zn4 0.500 0.500 0.597
Pb1 0.000 0.000 0.500
Pb2 0.500 0.500 0.000


[10]
First-principles (PBEsol) data for TlZn2Pb after structural relaxation, as listed in Alexandria.

Output
**Total energy**: -2.23 eV/atom
**Size of the total moment**: 0.00 μB per formula unit
**Formation energy**: 0.216 eV per atom
**Theoretical density**: 10.030 g/cm³

Lattice parameters (Å, degrees): 3.521 3.521 25.084 90.00 90.00 120.00
Sites, in units of the cell vectors:
Tl1 0.000 0.000 0.000
Tl2 0.333 0.667 0.667
Tl3 0.667 0.333 0.333
Zn1 0.000 0.000 0.252
Zn2 0.000 0.000 0.748
Zn3 0.333 0.667 0.415
Zn4 0.333 0.667 0.919
Zn5 0.667 0.333 0.081
Zn6 0.667 0.333 0.585
Pb1 0.000 0.000 0.500
Pb2 0.333 0.667 0.167
Pb3 0.667 0.333 0.833


[11]
First-principles (PBEsol) data for TlZnPb after structural relaxation, as listed in Alexandria.

Output
**Total energy**: -2.40 eV/atom
**Offset from the most stable computed form**: 0.00 kJ/mol of atoms
**Size of the total moment**: 0.00 μB per formula unit
**Formation energy**: 0.334 eV per atom
**Theoretical density**: 9.173 g/cm³

Lattice parameters (Å, degrees): 7.016 7.016 7.016 90.00 90.00 90.00
Sites, in units of the cell vectors:
Tl1 0.000 0.000 0.000
Tl2 0.000 0.500 0.500
Tl3 0.500 0.000 0.500
Tl4 0.500 0.500 0.000
Zn1 0.000 0.000 0.500
Zn2 0.000 0.500 0.000
Zn3 0.500 0.000 0.000
Zn4 0.500 0.500 0.500
Pb1 0.250 0.250 0.250
Pb2 0.250 0.750 0.750
Pb3 0.750 0.250 0.750
Pb4 0.750 0.750 0.250


[12]
First-principles (PBEsol) data for TlZn2Pb after structural relaxation, as listed in Alexandria.

Output
**Total energy**: -2.22 eV/atom
**Size of the total moment**: 0.00 μB per formula unit
**Formation energy**: 0.232 eV per atom
**Theoretical density**: 10.136 g/cm³

Lattice parameters (Å, degrees): 4.242 4.242 9.874 90.00 90.00 90.00
Sites, in units of the cell vectors:
Tl1 0.000 0.000 0.000
Tl2 0.500 0.500 0.500
Zn1 0.000 0.000 0.500
Zn2 0.000 0.500 0.250
Zn3 0.500 0.000 0.750
Zn4 0.500 0.500 0.000
Pb1 0.000 0.500 0.750
Pb2 0.500 0.000 0.250


[13]
First-principles (PBEsol) data for Zr2TlPb after structural relaxation, as listed in Alexandria.

Output
**Total energy**: -6.38 eV/atom
**Offset from the most stable computed form**: 0.00 kJ/mol of atoms
**Size of the total moment**: 0.00 μB per formula unit
**Formation energy**: -0.181 eV per atom
**Theoretical density**: 11.082 g/cm³

Lattice parameters (Å, degrees): 4.545 4.545 8.620 90.00 90.00 90.00
Sites, in units of the cell vectors:
Zr1 0.000 0.500 0.250
Zr2 0.000 0.500 0.750
Zr3 0.500 0.000 0.250
Zr4 0.500 0.000 0.750
Tl1 0.000 0.000 0.000
Tl2 0.500 0.500 0.500
Pb1 0.000 0.000 0.500
Pb2 0.500 0.500 0.000


[14]
First-principles (PBEsol) data for Zr2TlPb after structural relaxation, as listed in Alexandria.

Output
**Total energy**: -6.32 eV/atom
**Offset from the most stable computed form**: 6.45 kJ/mol of atoms
**Size of the total moment**: 0.00 μB per formula unit
**Formation energy**: -0.115 eV per atom
**Theoretical density**: 10.808 g/cm³

Lattice parameters (Å, degrees): 11.642 3.304 5.207 90.00 114.31 90.00
Sites, in units of the cell vectors:
Zr1 0.000 0.000 0.000
Zr2 0.244 0.500 0.375
Zr3 0.500 0.500 0.000
Zr4 0.744 0.000 0.375
Tl1 0.491 0.000 0.485
Tl2 0.991 0.500 0.485
Pb1 0.250 0.000 0.882
Pb2 0.750 0.500 0.882


[15]
First-principles (PBEsol) data for ZrTlPb2 after structural relaxation, as listed in Alexandria.

Output
**Total energy**: -4.90 eV/atom
**Offset from the most stable computed form**: 0.00 kJ/mol of atoms
**Size of the total moment**: 0.00 μB per formula unit
**Formation energy**: 0.029 eV per atom
**Theoretical density**: 11.712 g/cm³

Lattice parameters (Å, degrees): 3.520 4.430 6.456 90.00 90.00 90.00
Sites, in units of the cell vectors:
Zr1 0.000 0.000 0.000
Tl1 0.500 0.500 0.756
Pb1 0.000 0.000 0.507
Pb2 0.500 0.500 0.227


[16]
First-principles (PBEsol) data for Zr2TlPb after structural relaxation, as listed in Alexandria.

Output
**Total energy**: -6.38 eV/atom
**Offset from the most stable computed form**: 0.52 kJ/mol of atoms
**Size of the total moment**: 0.00 μB per formula unit
**Formation energy**: -0.176 eV per atom
**Theoretical density**: 10.905 g/cm³

Lattice parameters (Å, degrees): 4.267 4.267 9.935 90.00 90.00 90.00
Sites, in units of the cell vectors:
Zr1 0.000 0.000 0.000
Zr2 0.000 0.500 0.250
Zr3 0.500 0.000 0.750
Zr4 0.500 0.500 0.500
Tl1 0.000 0.000 0.500
Tl2 0.500 0.500 0.000
Pb1 0.000 0.500 0.750
Pb2 0.500 0.000 0.250